Entry 1:
Here is a relaxed structure of BePdI2O from the Alexandria database. Energies are from PBE.

Cell lengths 5.571, 5.571, 3.853 Å; angles 90.00, 90.00, 90.00 degrees
Positions (direct):
Be  0.000  0.000  0.000
Pd  0.500  0.500  0.500
I  0.000  0.500  0.500
I  0.500  0.000  0.500
O  0.500  0.500  0.000

Calculated values
The energy above the lowest structure with this stoichiometry comes out at 961 meV per atom. The total energy comes out at -2.91 eV per atom. The density of states at the Fermi level comes out at 1.0731 states/eV/atom.

=====

Entry 2:
Here is a relaxed structure of YEr4In5 from the Alexandria database. Energies are from PBE.

Cell lengths 3.714, 3.714, 18.965 Å; angles 90.00, 90.00, 90.00 degrees
Positions (direct):
Y  0.000  0.000  0.000
Er  0.000  0.000  0.202
Er  0.000  0.000  0.401
Er  0.000  0.000  0.599
Er  0.000  0.000  0.798
In  0.500  0.500  0.102
In  0.500  0.500  0.301
In  0.500  0.500  0.500
In  0.500  0.500  0.699
In  0.500  0.500  0.898

Calculated values
The value obtained for the energy of formation is -0.45 eV/atom. The total energy comes out at -4.29 eV per atom. The density of states at the Fermi level comes out at 0.5760 states/eV/atom.

=====

Entry 3:
Here is a relaxed structure of LaSb2Au from the Alexandria database. Energies are from PBE.

Cell lengths 6.400, 6.277, 4.602 Å; angles 70.15, 67.30, 42.55 degrees
Positions (direct):
La  0.000  0.000  0.000
Sb  0.000  0.500  0.500
Sb  0.500  0.000  0.000
Au  0.500  0.500  0.500

Calculated values
The total energy comes out at -4.61 eV per atom. The density of states at the Fermi level comes out at 0.6103 states/eV/atom.